[1]
# PBE PrTm4As5, relaxed
data_PrTm4As5
_chemical_formula_sum 'Pr2 Tm8 As10'
_space_group_name_H-M_alt 'C 1 2/m 1'
_space_group_IT_number 12
_cell_length_a 13.634
_cell_length_b 4.117
_cell_length_c 10.082
_cell_angle_alpha 90.00
_cell_angle_beta 119.49
_cell_angle_gamma 90.00
loop_
_space_group_symop_operation_xyz
'x,y,z'
'-x,-y,-z'
'-x,y,-z'
'x,-y,z'
'x+1/2,y+1/2,z'
'-x+1/2,-y+1/2,-z'
'-x+1/2,y+1/2,-z'
'x+1/2,-y+1/2,z'
loop_
_atom_site_label
_atom_site_fract_x
_atom_site_fract_y
_atom_site_fract_z
Pr1 0.000 0.000 0.000
Tm1 0.098 0.500 0.399
Tm2 0.201 0.000 0.796
As1 0.000 0.000 0.500
As2 0.106 0.500 0.896
As3 0.203 0.000 0.308
# Crystal system: monoclinic
# Energy of formation from the pure elements in meV per atom: -1490

=====

[2]
# PBE TmSnS, relaxed
data_TmSnS
_chemical_formula_sum 'Tm2 Sn2 S2'
_space_group_name_H-M_alt 'I 4 m m'
_space_group_IT_number 107
_space_group_name_Hall 'I 4 -2'
_cell_length_a 3.619
_cell_length_b 3.619
_cell_length_c 11.264
_cell_angle_alpha 90.00
_cell_angle_beta 90.00
_cell_angle_gamma 90.00
loop_
_atom_site_label
_atom_site_fract_x
_atom_site_fract_y
_atom_site_fract_z
Tm1 0.000 0.000 0.000
Sn1 0.000 0.000 0.304
S1 0.000 0.000 0.568
# E in eV/atom: -5.22
# Crystal system: tetragonal

=====

[3]
# PBE TbPmCu, relaxed
data_TbPmCu
_chemical_formula_sum 'Tb2 Pm2 Cu2'
_space_group_name_H-M_alt 'I 4 m m'
_space_group_IT_number 107
_space_group_name_Hall 'I 4 -2'
_cell_length_a 3.529
_cell_length_b 3.529
_cell_length_c 12.545
_cell_angle_alpha 90.00
_cell_angle_beta 90.00
_cell_angle_gamma 90.00
loop_
_atom_site_label
_atom_site_fract_x
_atom_site_fract_y
_atom_site_fract_z
Tb1 0.000 0.000 0.000
Pm1 0.000 0.000 0.278
Cu1 0.000 0.000 0.629
# Polymorph energy (0 for the lowest one) in meV per atom: 23.1
# Crystal system: tetragonal
# Energy of formation from the pure elements in meV per atom: -104

=====

[4]
# PBE PuSb2Rh2, relaxed
data_PuSb2Rh2
_chemical_formula_sum 'Pu2 Sb4 Rh4'
_space_group_name_H-M_alt 'P 1 21/m 1'
_space_group_IT_number 11
_cell_length_a 4.654
_cell_length_b 4.573
_cell_length_c 10.128
_cell_angle_alpha 90.00
_cell_angle_beta 91.60
_cell_angle_gamma 90.00
loop_
_space_group_symop_operation_xyz
'x,y,z'
'-x,-y,-z'
'-x,y+1/2,-z'
'x,-y+1/2,z'
loop_
_atom_site_label
_atom_site_fract_x
_atom_site_fract_y
_atom_site_fract_z
Pu1 0.232 0.250 0.245
Sb1 0.251 0.750 0.497
Sb2 0.288 0.250 0.875
Rh1 0.201 0.750 0.999
Rh2 0.256 0.250 0.623
# E in eV/atom: -8.01
# Crystal system: monoclinic

=====

[5]
# PBE RbAlBP2HO9, relaxed
data_RbAlBP2HO9
_chemical_formula_sum 'Rb4 Al4 B4 P8 H4 O36'
_space_group_name_H-M_alt 'P 1 21/c 1'
_space_group_IT_number 14
_cell_length_a 9.376
_cell_length_b 8.624
_cell_length_c 9.509
_cell_angle_alpha 90.00
_cell_angle_beta 104.28
_cell_angle_gamma 90.00
loop_
_space_group_symop_operation_xyz
'x,y,z'
'-x,-y,-z'
'-x,y+1/2,-z+1/2'
'x,-y+1/2,z+1/2'
loop_
_atom_site_label
_atom_site_fract_x
_atom_site_fract_y
_atom_site_fract_z
Rb1 0.192 0.112 0.064
Al1 0.197 0.656 0.934
B1 0.339 0.044 0.702
P1 0.071 0.566 0.207
P2 0.413 0.733 0.725
H1 0.388 0.054 0.499
O1 0.075 0.518 0.804
O2 0.077 0.654 0.069
O3 0.097 0.671 0.342
O4 0.197 0.062 0.739
O5 0.304 0.030 0.539
O6 0.336 0.715 0.564
O7 0.341 0.635 0.822
O8 0.421 0.187 0.749
O9 0.424 0.592 0.272
# E in eV/atom: -7.03
# Crystal system: monoclinic

=====

[6]
# PBE SbP2OsRh, relaxed
data_SbP2OsRh
_chemical_formula_sum 'Sb1 P2 Os1 Rh1'
_space_group_name_H-M_alt 'P 4/m m m'
_space_group_IT_number 123
_space_group_name_Hall '-P 4 2'
_cell_length_a 4.404
_cell_length_b 4.404
_cell_length_c 5.316
_cell_angle_alpha 90.00
_cell_angle_beta 90.00
_cell_angle_gamma 90.00
loop_
_atom_site_label
_atom_site_fract_x
_atom_site_fract_y
_atom_site_fract_z
Sb1 0.000 0.000 0.000
P1 0.000 0.500 0.500
Os1 0.500 0.500 0.500
Rh1 0.500 0.500 0.000
# Polymorph energy (0 for the lowest one) in meV per atom: 0.0
# Crystal system: tetragonal

=====

[7]
# PBE Sm2PtCl, relaxed
data_Sm2PtCl
_chemical_formula_sum 'Sm6 Pt3 Cl3'
_space_group_name_H-M_alt 'R 3 m'
_space_group_IT_number 160
_space_group_name_Hall 'R 3 -2"'
_cell_length_a 4.1103
_cell_length_b 4.1103
_cell_length_c 22.8536
_cell_angle_alpha 90.00
_cell_angle_beta 90.00
_cell_angle_gamma 120.00
loop_
_atom_site_label
_atom_site_fract_x
_atom_site_fract_y
_atom_site_fract_z
Sm1 0.0000 0.0000 0.0000
Sm2 0.0000 0.0000 0.1973
Pt1 0.0000 0.0000 0.5986
Cl1 0.0000 0.0000 0.4276
# Polymorph energy (0 for the lowest one) in meV per atom: 35.3
# Crystal system: trigonal

=====

[8]
# PBE TbErSiRh, relaxed
data_TbErSiRh
_chemical_formula_sum 'Tb2 Er2 Si2 Rh2'
_space_group_name_H-M_alt 'A m m 2'
_space_group_IT_number 38
_cell_length_a 4.024
_cell_length_b 4.104
_cell_length_c 10.513
_cell_angle_alpha 90.00
_cell_angle_beta 90.00
_cell_angle_gamma 90.00
loop_
_space_group_symop_operation_xyz
'x,y,z'
'-x,-y,z'
'-x,y,z'
'x,-y,z'
'x,y+1/2,z+1/2'
'-x,-y+1/2,z+1/2'
'-x,y+1/2,z+1/2'
'x,-y+1/2,z+1/2'
loop_
_atom_site_label
_atom_site_fract_x
_atom_site_fract_y
_atom_site_fract_z
Tb1 0.000 0.000 0.000
Er1 0.500 0.000 0.719
Si1 0.000 0.000 0.288
Rh1 0.500 0.000 0.434
# E in eV/atom: -6.35
# Crystal system: orthorhombic

=====

[9]
# PBE Sm6Tl2C, relaxed
data_Sm6Tl2C
_chemical_formula_sum 'Sm12 Tl4 C2'
_space_group_name_H-M_alt 'A m m 2'
_space_group_IT_number 38
_cell_length_a 3.656
_cell_length_b 15.421
_cell_length_c 8.915
_cell_angle_alpha 90.00
_cell_angle_beta 90.00
_cell_angle_gamma 90.00
loop_
_space_group_symop_operation_xyz
'x,y,z'
'-x,-y,z'
'-x,y,z'
'x,-y,z'
'x,y+1/2,z+1/2'
'-x,-y+1/2,z+1/2'
'-x,y+1/2,z+1/2'
'x,-y+1/2,z+1/2'
loop_
_atom_site_label
_atom_site_fract_x
_atom_site_fract_y
_atom_site_fract_z
Sm1 0.000 0.000 0.000
Sm2 0.000 0.108 0.677
Sm3 0.500 0.000 0.376
Sm4 0.500 0.204 0.988
Tl1 0.000 0.167 0.284
C1 0.500 0.000 0.785
# Polymorph energy (0 for the lowest one) in meV per atom: 167.9
# Crystal system: orthorhombic
# Energy of formation from the pure elements in meV per atom: -123

=====

[10]
# PBE Er4ScIr5, relaxed
data_Er4ScIr5
_chemical_formula_sum 'Er4 Sc1 Ir5'
_space_group_name_H-M_alt 'P 4/m m m'
_space_group_IT_number 123
_space_group_name_Hall '-P 4 2'
_cell_length_a 3.283
_cell_length_b 3.283
_cell_length_c 17.605
_cell_angle_alpha 90.00
_cell_angle_beta 90.00
_cell_angle_gamma 90.00
loop_
_atom_site_label
_atom_site_fract_x
_atom_site_fract_y
_atom_site_fract_z
Er1 0.000 0.000 0.102
Er2 0.000 0.000 0.305
Sc1 0.000 0.000 0.500
Ir1 0.500 0.500 0.000
Ir2 0.500 0.500 0.204
Ir3 0.500 0.500 0.409
# Crystal system: tetragonal
# Energy of formation from the pure elements in meV per atom: -897

=====

[11]
# PBE Tl2AsSe2, relaxed
data_Tl2AsSe2
_chemical_formula_sum 'Tl4 As2 Se4'
_space_group_name_H-M_alt 'P 4/m b m'
_space_group_IT_number 127
_space_group_name_Hall '-P 4 2ab'
_cell_length_a 7.512
_cell_length_b 7.512
_cell_length_c 4.993
_cell_angle_alpha 90.00
_cell_angle_beta 90.00
_cell_angle_gamma 90.00
loop_
_atom_site_label
_atom_site_fract_x
_atom_site_fract_y
_atom_site_fract_z
Tl1 0.153 0.347 0.000
As1 0.000 0.000 0.500
Se1 0.177 0.677 0.500
# E in eV/atom: -3.32
# Crystal system: tetragonal

=====

[12]
# PBE Nd12Mg3Pd5, relaxed
data_Nd12Mg3Pd5
_chemical_formula_sum 'Nd96 Mg24 Pd40'
_space_group_name_H-M_alt 'I a -3 d'
_space_group_IT_number 230
_space_group_name_Hall '-I 4bd 2c 3'
_cell_length_a 17.779
_cell_length_b 17.779
_cell_length_c 17.779
_cell_angle_alpha 90.00
_cell_angle_beta 90.00
_cell_angle_gamma 90.00
loop_
_atom_site_label
_atom_site_fract_x
_atom_site_fract_y
_atom_site_fract_z
Nd1 0.027 0.063 0.647
Mg1 0.000 0.250 0.125
Pd1 0.000 0.000 0.000
Pd2 0.000 0.250 0.375
# Crystal system: cubic
# Energy of formation from the pure elements in meV per atom: 3

=====

[13]
# PBE Sb2Au, relaxed
data_Sb2Au
_chemical_formula_sum 'Sb4 Au2'
_space_group_name_H-M_alt 'C m m m'
_space_group_IT_number 65
_space_group_name_Hall '-C 2 2'
_cell_length_a 4.226
_cell_length_b 12.149
_cell_length_c 3.093
_cell_angle_alpha 90.00
_cell_angle_beta 90.00
_cell_angle_gamma 90.00
loop_
_atom_site_label
_atom_site_fract_x
_atom_site_fract_y
_atom_site_fract_z
Sb1 0.000 0.148 0.000
Au1 0.000 0.500 0.000
# E in eV/atom: -3.86
# Crystal system: orthorhombic

=====

[14]
# PBE PmMgTl, relaxed
data_PmMgTl
_chemical_formula_sum 'Pm2 Mg2 Tl2'
_space_group_name_H-M_alt 'I 4 m m'
_space_group_IT_number 107
_space_group_name_Hall 'I 4 -2'
_cell_length_a 3.639
_cell_length_b 3.639
_cell_length_c 12.340
_cell_angle_alpha 90.00
_cell_angle_beta 90.00
_cell_angle_gamma 90.00
loop_
_atom_site_label
_atom_site_fract_x
_atom_site_fract_y
_atom_site_fract_z
Pm1 0.000 0.000 0.000
Mg1 0.000 0.000 0.314
Tl1 0.000 0.000 0.677
# Polymorph energy (0 for the lowest one) in meV per atom: 170.2
# Crystal system: tetragonal
# Energy of formation from the pure elements in meV per atom: -187

=====

[15]
# PBE Sr8NiPd2, relaxed
data_Sr8NiPd2
_chemical_formula_sum 'Sr16 Ni2 Pd4'
_space_group_name_H-M_alt 'C 1 2/m 1'
_space_group_IT_number 12
_cell_length_a 14.382
_cell_length_b 7.893
_cell_length_c 8.116
_cell_angle_alpha 90.00
_cell_angle_beta 90.38
_cell_angle_gamma 90.00
loop_
_space_group_symop_operation_xyz
'x,y,z'
'-x,-y,-z'
'-x,y,-z'
'x,-y,z'
'x+1/2,y+1/2,z'
'-x+1/2,-y+1/2,-z'
'-x+1/2,y+1/2,-z'
'x+1/2,-y+1/2,z'
loop_
_atom_site_label
_atom_site_fract_x
_atom_site_fract_y
_atom_site_fract_z
Sr1 0.039 0.241 0.242
Sr2 0.197 0.000 0.617
Sr3 0.210 0.500 0.895
Ni1 0.000 0.000 0.500
Pd1 0.098 0.000 0.951
# Crystal system: monoclinic
# Energy of formation from the pure elements in meV per atom: -209

=====

[16]
# PBE Ca2SbRh, relaxed
data_Ca2SbRh
_chemical_formula_sum 'Ca4 Sb2 Rh2'
_space_group_name_H-M_alt 'C 1 2/m 1'
_space_group_IT_number 12
_cell_length_a 6.498
_cell_length_b 8.149
_cell_length_c 3.577
_cell_angle_alpha 90.00
_cell_angle_beta 90.11
_cell_angle_gamma 90.00
loop_
_space_group_symop_operation_xyz
'x,y,z'
'-x,-y,-z'
'-x,y,-z'
'x,-y,z'
'x+1/2,y+1/2,z'
'-x+1/2,-y+1/2,-z'
'-x+1/2,y+1/2,-z'
'x+1/2,-y+1/2,z'
loop_
_atom_site_label
_atom_site_fract_x
_atom_site_fract_y
_atom_site_fract_z
Ca1 0.250 0.250 0.000
Sb1 0.000 0.000 0.500
Rh1 0.000 0.500 0.500
# E in eV/atom: -4.37
# Crystal system: monoclinic

=====

[17]
# PBE V6GaRh, relaxed
data_V6GaRh
_chemical_formula_sum 'V12 Ga2 Rh2'
_space_group_name_H-M_alt 'A m m 2'
_space_group_IT_number 38
_cell_length_a 4.244
_cell_length_b 6.001
_cell_length_c 8.527
_cell_angle_alpha 90.00
_cell_angle_beta 90.00
_cell_angle_gamma 90.00
loop_
_space_group_symop_operation_xyz
'x,y,z'
'-x,-y,z'
'-x,y,z'
'x,-y,z'
'x,y+1/2,z+1/2'
'-x,-y+1/2,z+1/2'
'-x,y+1/2,z+1/2'
'x,-y+1/2,z+1/2'
loop_
_atom_site_label
_atom_site_fract_x
_atom_site_fract_y
_atom_site_fract_z
V1 0.000 0.000 0.000
V2 0.000 0.238 0.253
V3 0.500 0.000 0.258
V4 0.500 0.239 0.013
Ga1 0.500 0.000 0.762
Rh1 0.000 0.000 0.511
# Crystal system: orthorhombic
# Energy of formation from the pure elements in meV per atom: -199

=====

[18]
# PBE LaYCdPd, relaxed
data_LaYCdPd
_chemical_formula_sum 'La4 Y4 Cd4 Pd4'
_space_group_name_H-M_alt 'F -4 3 m'
_space_group_IT_number 216
_space_group_name_Hall 'F -4 2 3'
_cell_length_a 7.454
_cell_length_b 7.454
_cell_length_c 7.454
_cell_angle_alpha 90.00
_cell_angle_beta 90.00
_cell_angle_gamma 90.00
loop_
_atom_site_label
_atom_site_fract_x
_atom_site_fract_y
_atom_site_fract_z
La1 0.000 0.000 0.000
Y1 0.000 0.000 0.500
Cd1 0.250 0.250 0.250
Pd1 0.250 0.250 0.750
# Crystal system: cubic
# Energy of formation from the pure elements in meV per atom: -499

=====

[19]
# PBE Pm3Er3MgS8, relaxed
data_Pm3Er3MgS8
_chemical_formula_sum 'Pm9 Er9 Mg3 S24'
_space_group_name_H-M_alt 'R -3 m'
_space_group_IT_number 166
_space_group_name_Hall '-R 3 2"'
_cell_length_a 7.8045
_cell_length_b 7.8045
_cell_length_c 19.4900
_cell_angle_alpha 90.00
_cell_angle_beta 90.00
_cell_angle_gamma 120.00
loop_
_atom_site_label
_atom_site_fract_x
_atom_site_fract_y
_atom_site_fract_z
Pm1 0.0000 0.5000 0.0000
Er1 0.0000 0.5000 0.5000
Mg1 0.0000 0.0000 0.5000
S1 0.0000 0.0000 0.2450
S2 0.0074 0.5037 0.2434
# E in eV/atom: -6.14
# Crystal system: trigonal

=====

| no. | N(E_F) (states/eV/f.u.) | size of the total moment (Bohr magnetons per cell) |
| --- | --- | --- |
| 1 | 1.648 | 0.0 |
| 2 | 2.407 | 0.0 |
| 3 | 3.224 | 0.0 |
| 4 | 15.284 | 10.9 |
| 5 | 0.000 | 0.0 |
| 6 | 4.344 | 0.0 |
| 7 | 3.088 | 0.0 |
| 8 | 2.463 | 0.0 |
| 9 | 9.336 | 0.0 |
| 10 | 2.152 | 0.0 |
| 11 | 1.252 | 0.0 |
| 12 | 28.861 | 0.0 |
| 13 | 1.343 | 0.0 |
| 14 | 2.263 | 0.2 |
| 15 | 7.280 | 0.0 |
| 16 | 1.696 | 0.0 |
| 17 | 4.773 | 0.0 |
| 18 | 3.581 | 0.0 |
| 19 | 2.602 | 0.0 |